[1]
A plane-wave DFT calculation with PBE was carried out for TbMgSn2 after structural relaxation.

Its magnetic moment is 0.000 μB/atom. The value obtained for the calculated volume is 312 Å³ per cell. The total energy is -46.3 eV/cell. Its energy relative to the elements is -0.304 eV/atom.

The space group is R-3m (No. 166, hexagonal axes) and the conventional cell measures 3.5011, 3.5011 and 29.3936 Å, with angles of 90.00, 90.00 and 120.00 degrees. The asymmetric unit holds Tb at (0.0000, 0.0000, 0.0000), Mg at (0.0000, 0.0000, 0.5000) and Sn at (0.0000, 0.0000, 0.2456).

---

[2]
A plane-wave DFT calculation with PBE was carried out for Cs2MgF after structural relaxation.

The energy relative to the lowest polymorph listed for this composition comes out at 0.11 eV per formula unit. Its magnetic moment is 0.000 μB/atom. The value obtained for the calculated volume is 396 Å³ per cell. The total energy is -19.8 eV/cell. The calculation puts the formation energy (no corrections) at -1.1766 eV/atom.

The space group is Cm (No. 8) and the conventional cell measures 21.793, 4.297 and 4.308 Å, with angles of 90.00, 101.12 and 90.00 degrees. The asymmetric unit holds Cs at (0.000, 0.000, 0.000), Cs at (0.239, 0.500, 0.745), Mg at (0.367, 0.000, 0.370) and F at (0.275, 0.000, 0.281).